The following is a SCAN calculation of P2WSe at its PBEsol-relaxed geometry, from Alexandria.

```
P2WSe
1.0
3.0249 0.0000 0.0000
0.0000 4.2295 0.0000
0.0000 0.0000 4.6810
P W Se
2 1 1
Direct
0.0000 0.0000 0.0000
0.5000 0.0000 0.5000
0.0000 0.5000 0.5000
0.5000 0.5000 0.0000
```

E_form (uncorrected)   0.90 eV per atom
V   14.972 Å³ per atom

The following is a SCAN calculation of Be2CdPb at its PBEsol-relaxed geometry, from Alexandria.

```
Be2CdPb
1.0
0.0000 3.2676 3.2676
3.2676 0.0000 3.2676
3.2676 3.2676 0.0000
Be Cd Pb
2 1 1
Direct
0.2500 0.2500 0.2500
0.7500 0.7500 0.7500
0.0000 0.0000 0.0000
0.5000 0.5000 0.5000
```

Energy of formation from the pure elements   707 meV/atom
V   17.445 Å³ per atom
Offset from the most stable computed form   0.094 eV/atom

The following is a SCAN calculation of LiMg2Hg at its PBEsol-relaxed geometry, from Alexandria.

```
LiMg2Hg
1.0
-2.1197 2.1197 4.2828
2.1197 -2.1197 4.2828
2.1197 2.1197 -4.2828
Li Mg Hg
1 2 1
Direct
0.0000 0.0000 0.0000
0.5000 0.5000 0.0000
0.7500 0.2500 0.5000
0.2500 0.7500 0.5000
```

Energy of formation from the pure elements   -321 meV/atom
V   19.242 Å³ per atom

The following is a SCAN calculation of Ta2AlMo at its PBEsol-relaxed geometry, from Alexandria.

```
Ta2AlMo
1.0
3.3058 0.0000 0.0000
0.0000 3.3058 0.0000
0.0000 0.0000 6.0126
Ta Al Mo
2 1 1
Direct
0.0000 0.0000 0.2437
0.0000 0.0000 0.7563
0.5000 0.5000 0.5000
0.5000 0.5000 0.0000
```

Energy of formation from the pure elements   -195 meV/atom
V   16.427 Å³ per atom

The following is a SCAN calculation of HgSb2Pt at its PBEsol-relaxed geometry, from Alexandria.

```
HgSb2Pt
1.0
3.2395 0.0000 0.0000
0.0000 3.2395 0.0000
0.0000 0.0000 8.6662
Hg Sb Pt
1 2 1
Direct
0.0000 0.0000 0.0000
0.5000 0.5000 0.3003
0.5000 0.5000 0.6997
0.0000 0.0000 0.5000
```

E_form (uncorrected)   -0.04 eV per atom
V   22.736 Å³ per atom

The following is a SCAN calculation of InSiTe2As at its PBEsol-relaxed geometry, from Alexandria.

```
InSiTe2As
1.0
5.5431 0.0000 0.0000
0.0000 5.5431 0.0000
0.0000 0.0000 4.6750
In Si Te As
1 1 2 1
Direct
0.0000 0.0000 0.0000
0.5000 0.5000 0.0000
0.0000 0.5000 0.5000
0.5000 0.0000 0.5000
0.5000 0.5000 0.5000
```

E_form (uncorrected)   0.54 eV per atom
V   28.728 Å³ per atom

The following is a SCAN calculation of Fe2AsBr at its PBEsol-relaxed geometry, from Alexandria.

```
Fe2AsBr
1.0
0.0000 3.1648 3.1648
3.1648 0.0000 3.1648
3.1648 3.1648 0.0000
Fe As Br
2 1 1
Direct
0.0000 0.0000 0.0000
0.2500 0.2500 0.2500
0.7500 0.7500 0.7500
0.5000 0.5000 0.5000
```

E_form (uncorrected)   0.86 eV per atom
V   15.849 Å³ per atom
Offset from the most stable computed form   0.881 eV/atom

The following is a SCAN calculation of UV2O8 at its PBEsol-relaxed geometry, from Alexandria.

```
UV2O8
1.0
5.7785 0.0000 0.0000
0.0000 11.9121 0.0000
0.0000 0.0000 10.6640
U V O
4 8 32
Direct
0.0676 0.2500 0.1044
0.4324 0.7500 0.6044
0.5676 0.2500 0.3956
0.9324 0.7500 0.8956
0.1650 0.5722 0.1680
0.1650 0.9278 0.1680
0.3350 0.0722 0.6680
0.3350 0.4278 0.6680
0.6650 0.5722 0.3320
0.6650 0.9278 0.3320
0.8350 0.0722 0.8320
0.8350 0.4278 0.8320
0.0704 0.1137 0.7376
0.0704 0.3863 0.7376
0.1373 0.6333 0.0284
0.1373 0.8667 0.0284
0.1605 0.0664 0.1532
0.1605 0.4336 0.1532
0.1719 0.7500 0.7798
0.1971 0.7500 0.4954
0.3029 0.2500 0.9954
0.3281 0.2500 0.2798
0.3395 0.5664 0.6532
0.3395 0.9336 0.6532
0.3627 0.1333 0.5284
0.3627 0.3667 0.5284
0.4296 0.6137 0.2376
0.4296 0.8863 0.2376
0.5704 0.1137 0.7624
0.5704 0.3863 0.7624
0.6373 0.6333 0.4716
0.6373 0.8667 0.4716
0.6605 0.0664 0.3468
0.6605 0.4336 0.3468
0.6719 0.7500 0.7202
0.6971 0.7500 0.0046
0.8029 0.2500 0.5046
0.8281 0.2500 0.2202
0.8395 0.5664 0.8468
0.8395 0.9336 0.8468
0.8627 0.1333 0.9716
0.8627 0.3667 0.9716
0.9296 0.6137 0.2624
0.9296 0.8863 0.2624
```

E_form (uncorrected)   -2.76 eV per atom
V   16.683 Å³ per atom

The following is a SCAN calculation of ZrSiSbI2 at its PBEsol-relaxed geometry, from Alexandria.

```
ZrSiSbI2
1.0
5.4671 0.0000 0.0000
0.0000 5.4671 0.0000
0.0000 0.0000 5.7317
Zr Si Sb I
1 1 1 2
Direct
0.0000 0.0000 0.0000
0.5000 0.5000 0.5000
0.0000 0.0000 0.5000
0.0000 0.5000 0.0000
0.5000 0.0000 0.0000
```

E_form (uncorrected)   0.49 eV per atom
V   34.263 Å³ per atom

The following is a SCAN calculation of Ca2NF at its PBEsol-relaxed geometry, from Alexandria.

```
Ca2NF
1.0
1.7476 1.0090 5.7039
-1.7476 1.0090 5.7039
0.0000 -2.0180 5.7039
Ca N F
2 1 1
Direct
0.2397 0.2397 0.2397
0.7603 0.7603 0.7603
0.5000 0.5000 0.5000
0.0000 0.0000 0.0000
```

E_form (uncorrected)   -2.26 eV per atom
V   15.087 Å³ per atom

The following is a SCAN calculation of BaTcNi at its PBEsol-relaxed geometry, from Alexandria.

```
BaTcNi
1.0
0.0000 3.2290 3.2290
3.2290 0.0000 3.2290
3.2290 3.2290 0.0000
Ba Tc Ni
1 1 1
Direct
0.0000 0.0000 0.0000
0.7500 0.7500 0.7500
0.2500 0.2500 0.2500
```

Energy of formation from the pure elements   1938 meV/atom
V   22.444 Å³ per atom

The following is a SCAN calculation of Al3FeAu at its PBEsol-relaxed geometry, from Alexandria.

```
Al3FeAu
1.0
4.7430 0.0000 0.0000
0.0000 4.7430 0.0000
0.0000 0.0000 4.7430
Al Fe Au
3 1 1
Direct
0.0000 0.0000 0.5000
0.0000 0.5000 0.0000
0.5000 0.0000 0.0000
0.5000 0.5000 0.5000
0.0000 0.0000 0.0000
```

Energy of formation from the pure elements   569 meV/atom
V   21.339 Å³ per atom